SrZr3Re meta-GGA SCAN PBEsol geometry; magnetic moment = 0.0 Bohr magnetons per cell; space-group type = Pm-3m; energy relative to the elements = 1.5 eV per formula unit
1.0
5.1469 0.0000 0.0000
0.0000 5.1469 0.0000
0.0000 0.0000 5.1469
Sr Zr Re
1 3 1
Cartesian
0.0000 0.0000 0.0000
0.0000 2.5735 2.5735
2.5735 0.0000 2.5735
2.5735 2.5735 0.0000
2.5735 2.5735 2.5735

SbCl2 meta-GGA SCAN PBEsol geometry; raw formation energy = -1.04 eV/f.u.; magnetic moment = 0.0 Bohr magnetons per cell; space-group type = P-62m
1.0
8.2379 0.0000 0.0000
-4.1190 7.1342 0.0000
0.0000 0.0000 3.5532
Sb Cl
3 6
Cartesian
0.0000 0.0000 0.0000
0.0000 4.7562 1.7766
4.1190 2.3781 1.7766
-1.7695 3.0649 0.0000
-3.1213 5.4063 1.7766
0.9976 1.7280 1.7766
3.5390 0.0000 0.0000
2.3495 4.0694 0.0000
6.2426 0.0000 1.7766

CsSc3Ir meta-GGA SCAN PBEsol geometry; magnetic moment = 0.0 Bohr magnetons per cell; space-group type = Pm-3m; energy relative to the elements = -0.6 eV per formula unit
1.0
5.1894 0.0000 0.0000
0.0000 5.1894 0.0000
0.0000 0.0000 5.1894
Cs Sc Ir
1 3 1
Cartesian
0.0000 0.0000 0.0000
0.0000 2.5947 2.5947
2.5947 0.0000 2.5947
2.5947 2.5947 0.0000
2.5947 2.5947 2.5947

NaH9O5 meta-GGA SCAN PBEsol geometry; magnetic moment = 0.0 Bohr magnetons per cell; space-group type = C2; energy above the lowest structure with this stoichiometry = 0.00 eV/f.u.
1.0
7.5104 -2.0114 0.0000
7.5104 2.0114 0.0000
-4.0486 0.0000 8.3037
Na H O
2 18 10
Cartesian
-0.7269 0.0000 2.9508
11.6990 0.0000 5.3529
1.7110 0.8468 3.9952
4.0707 1.2277 2.4528
0.9188 0.8316 7.4150
2.2677 0.0305 2.6995
4.1702 0.0074 0.8288
6.9014 1.2277 5.8509
2.9932 0.0013 6.9981
6.4476 0.0063 0.8826
10.0533 0.8316 0.8887
0.9216 -0.8173 7.4162
4.5245 0.0063 7.4211
9.2611 0.8468 4.3085
7.9789 0.0013 1.3056
4.0670 -1.2121 2.4571
6.8019 0.0074 7.4749
8.7044 0.0305 5.6042
10.0505 -0.8173 0.8875
6.9052 -1.2121 5.8466
-0.9766 0.0071 5.3461
1.5553 0.0227 3.3912
3.4091 0.0055 1.4669
1.4125 0.0076 7.7935
3.9213 0.0046 6.6228
7.0509 0.0046 1.6809
9.5596 0.0076 0.5102
7.5630 0.0055 6.8368
9.4168 0.0227 4.9125
11.9487 0.0071 2.9576

Ho2Au meta-GGA SCAN PBEsol geometry; magnetic moment = 0.0 Bohr magnetons per cell; space-group type = Pnma; energy relative to the elements = -2.7 eV per formula unit
1.0
6.9294 0.0000 0.0000
0.0000 4.8606 0.0000
0.0000 0.0000 8.7622
Ho Au
8 4
Cartesian
0.0778 1.2151 1.5583
1.0540 1.2151 5.0969
2.4107 3.6454 0.7158
3.3869 3.6454 5.9394
3.5425 1.2151 2.8228
4.5187 1.2151 8.0464
5.8754 3.6454 3.6653
6.8516 3.6454 7.2039
1.6766 1.2151 7.9116
1.7881 3.6454 3.5305
5.1413 1.2151 5.2317
5.2528 3.6454 0.8506

Y3Tl5 meta-GGA SCAN PBEsol geometry; magnetic moment = 0.0 Bohr magnetons per cell; space-group type = Cmmm; energy above the lowest structure with this stoichiometry = 0.35 eV/f.u.; energy relative to the elements = -3.9 eV per formula unit
1.0
4.4472 -4.7954 0.0000
4.4472 4.7954 0.0000
0.0000 0.0000 4.8161
Y Tl
3 5
Cartesian
0.0000 0.0000 0.0000
4.4472 2.1209 2.4080
4.4472 -2.1209 2.4080
2.2236 2.3977 0.0000
2.0242 0.0000 2.4080
2.2236 -2.3977 0.0000
4.4472 0.0000 0.0000
6.8701 0.0000 2.4080

Ca2TlHg meta-GGA SCAN PBEsol geometry; magnetic moment = 0.0 Bohr magnetons per cell; space-group type = Pmm2; energy relative to the elements = -2.7 eV per formula unit
1.0
3.7077 0.0000 0.0000
0.0000 5.3530 0.0000
0.0000 0.0000 5.3525
Ca Tl Hg
2 1 1
Cartesian
0.0000 0.0000 0.0000
0.0000 2.6765 2.6714
1.8538 2.6765 5.3461
1.8538 0.0000 2.6773

NaLi2Cd meta-GGA SCAN PBEsol geometry; magnetic moment = 0.0 Bohr magnetons per cell; space-group type = I-42d; energy relative to the elements = 0.0 eV per formula unit
1.0
-2.1400 2.1400 10.2803
2.1400 -2.1400 10.2803
2.1400 2.1400 -10.2803
Na Li Cd
2 4 2
Cartesian
0.0000 0.0000 0.0000
0.0000 2.1400 5.1401
1.0700 -0.9406 7.7102
1.1995 1.0700 2.5701
1.0700 3.0806 -2.5701
0.9406 1.0700 12.8503
2.1400 0.0000 5.1401
0.0000 0.0000 10.2803

AgSbW meta-GGA SCAN PBEsol geometry; raw formation energy = 2.66 eV/f.u.; magnetic moment = 1.5 Bohr magnetons per cell; space-group type = F-43m
1.0
0.0000 3.1717 3.1717
3.1717 0.0000 3.1717
3.1717 3.1717 0.0000
Ag Sb W
1 1 1
Cartesian
0.0000 0.0000 0.0000
3.1717 3.1717 3.1717
1.5858 1.5858 1.5858

CsTl2Sb2 meta-GGA SCAN PBEsol geometry; raw formation energy = -0.88 eV/f.u.; magnetic moment = 0.0 Bohr magnetons per cell; space-group type = P4/mbm; energy above the lowest structure with this stoichiometry = 0.46 eV/f.u.
1.0
9.3365 0.0000 0.0000
0.0000 9.3365 0.0000
0.0000 0.0000 4.0881
Cs Tl Sb
2 4 4
Cartesian
0.0000 0.0000 0.0000
4.6683 4.6683 0.0000
1.4185 3.2498 2.0440
3.2498 7.9180 2.0440
6.0868 1.4185 2.0440
7.9180 6.0868 2.0440
1.0147 5.6830 0.0000
3.6535 1.0147 0.0000
5.6830 8.3218 0.0000
8.3218 3.6535 0.0000

PW3 meta-GGA SCAN PBEsol geometry; magnetic moment = 0.0 Bohr magnetons per cell; space-group type = I4/mmm; energy above the lowest structure with this stoichiometry = 1.93 eV/f.u.; energy relative to the elements = 1.7 eV per formula unit
1.0
-1.8264 1.8264 4.4076
1.8264 -1.8264 4.4076
1.8264 1.8264 -4.4076
P W
1 3
Cartesian
0.0000 0.0000 0.0000
1.8264 0.0000 2.2038
0.0000 0.0000 4.4076
0.0000 1.8264 2.2038

LiNbSn2As meta-GGA SCAN PBEsol geometry; magnetic moment = 3.0 Bohr magnetons per cell; space-group type = P4/mmm; energy relative to the elements = 3.4 eV per formula unit
1.0
5.2555 0.0000 0.0000
0.0000 5.2555 0.0000
0.0000 0.0000 4.2627
Li Nb Sn As
1 1 2 1
Cartesian
0.0000 0.0000 0.0000
2.6278 2.6278 0.0000
0.0000 2.6278 2.1313
2.6278 0.0000 2.1313
0.0000 0.0000 2.1313

LiIn2Br2 meta-GGA SCAN PBEsol geometry; raw formation energy = -2.32 eV/f.u.; magnetic moment = 0.9 Bohr magnetons per cell; space-group type = I4/mmm
1.0
-3.0471 3.0471 4.3243
3.0471 -3.0471 4.3243
3.0471 3.0471 -4.3243
Li In Br
1 2 2
Cartesian
0.0000 0.0000 0.0000
0.0000 0.0000 2.8342
0.0000 0.0000 5.8144
3.0471 0.0000 2.1621
0.0000 3.0471 2.1621

NiBi2Pd meta-GGA SCAN PBEsol geometry; magnetic moment = 0.0 Bohr magnetons per cell; space-group type = I-42d; energy relative to the elements = 1.0 eV per formula unit
1.0
-3.5640 3.5640 3.4062
3.5640 -3.5640 3.4062
3.5640 3.5640 -3.4062
Ni Bi Pd
2 4 2
Cartesian
0.0000 0.0000 0.0000
0.0000 3.5640 1.7031
1.7820 1.6387 -0.8516
1.9252 -1.7820 4.2578
1.7820 1.9252 2.5547
1.6387 5.3460 0.8516
3.5640 0.0000 1.7031
0.0000 0.0000 3.4062

CoTeP2 meta-GGA SCAN PBEsol geometry; raw formation energy = -0.16 eV/f.u.; magnetic moment = 0.0 Bohr magnetons per cell; space-group type = C2/m
1.0
3.2303 -1.5848 0.0000
3.2303 1.5848 0.0000
-2.3389 0.0000 7.2332
Co Te P
1 1 2
Cartesian
0.0000 0.0000 0.0000
2.0609 0.0000 3.6166
1.9890 0.0000 0.9310
2.1327 0.0000 6.3022

LaHg2 meta-GGA SCAN PBEsol geometry; magnetic moment = 0.3 Bohr magnetons per cell; space-group type = P6/mmm; energy relative to the elements = -2.1 eV per formula unit
1.0
4.9917 0.0000 0.0000
-2.4958 4.3229 0.0000
0.0000 0.0000 3.4963
La Hg
1 2
Cartesian
0.0000 0.0000 0.0000
0.0000 2.8819 1.7481
2.4958 1.4410 1.7481

TiMn2GeBi meta-GGA SCAN PBEsol geometry; magnetic moment = 7.4 Bohr magnetons per cell; space-group type = P4/mmm; energy relative to the elements = 0.8 eV per formula unit
1.0
4.5410 0.0000 0.0000
0.0000 4.5410 0.0000
0.0000 0.0000 4.7819
Ti Mn Ge Bi
1 2 1 1
Cartesian
0.0000 0.0000 0.0000
0.0000 2.2705 2.3909
2.2705 0.0000 2.3909
0.0000 0.0000 2.3909
2.2705 2.2705 0.0000

MnSb2Se4 meta-GGA SCAN PBEsol geometry; raw formation energy = -3.12 eV/f.u.; magnetic moment = 10.0 Bohr magnetons per cell; space-group type = C2/m
1.0
6.4746 -1.9748 0.0000
6.4746 1.9748 0.0000
-6.4000 0.0000 13.5226
Mn Sb Se
2 4 8
Cartesian
0.0000 0.0000 0.0000
-3.2000 0.0000 6.7613
-2.6920 0.0000 11.8095
0.4695 0.0000 8.6202
6.0797 0.0000 4.9025
9.2412 0.0000 1.7131
-4.1440 0.0000 9.1219
0.9931 0.0000 2.4257
1.5120 0.0000 6.1582
4.8244 0.0000 0.7530
1.7249 0.0000 12.7696
5.0373 0.0000 7.3645
5.5561 0.0000 11.0969
10.6933 0.0000 4.4008

BaLiIn meta-GGA SCAN PBEsol geometry; magnetic moment = 0.0 Bohr magnetons per cell; space-group type = P-6m2; energy above the lowest structure with this stoichiometry = 0.00 eV/f.u.; energy relative to the elements = -1.0 eV per formula unit
1.0
5.3523 0.0000 0.0000
-2.6762 4.6353 0.0000
0.0000 0.0000 3.7102
Ba Li In
1 1 1
Cartesian
0.0000 0.0000 0.0000
2.6762 1.5451 1.8551
0.0000 3.0902 1.8551

Ta2GaSiO meta-GGA SCAN PBEsol geometry; raw formation energy = 4.32 eV/f.u.; magnetic moment = 0.0 Bohr magnetons per cell; space-group type = P4/mmm
1.0
4.8552 0.0000 0.0000
0.0000 4.8552 0.0000
0.0000 0.0000 3.5711
Ta Ga Si O
2 1 1 1
Cartesian
0.0000 2.4276 0.0000
2.4276 0.0000 0.0000
0.0000 0.0000 0.0000
2.4276 2.4276 1.7855
0.0000 0.0000 1.7855